VASP calculation (GGA-PBEsol) on an optimized crystal structure of CuHgAu2.

Calculated values
- energy of formation from the pure elements (eV per atom) = 0.008
- DOS(E_F) (states/eV per cell) = 1.3

Lattice parameters (Å, degrees): 3.0844 3.0844 6.9389 90.00 90.00 90.00
Space group P4/mmm (No. 123)
Symmetry-distinct sites (fractional):
Cu  0.0000  0.0000  0.0000
Hg  0.0000  0.0000  0.5000
Au  0.5000  0.5000  0.2142